Below is a relaxed Mn2CuAsO6 crystal, with properties calculated at the PBE+U level.

Cell: 5.1150 5.1152 5.7276 Å, 63.48 63.48 60.00°
Closest atoms and distances in Å follow each position.
Sites, in units of the cell vectors:
O: 0.3853 0.7166 0.7619  1 Cu 1.94, 1 As 1.95, 1 Mn 2.02
O: 0.9685 0.5876 0.2009  1 As 1.82, 1 Mn 2.02
O: 0.2430 0.9685 0.2008  1 As 1.83, 1 Mn 2.02
O: 0.5877 0.2430 0.2008  1 As 1.83, 1 Mn 2.02
O: 0.1363 0.3854 0.7619  1 Cu 1.94, 1 As 1.95, 1 Mn 2.02
O: 0.7166 0.1362 0.7620  1 Cu 1.94, 1 As 1.95, 1 Mn 2.02
Cu: 0.7601 0.7601 0.7195  3 O 1.94
Mn: 0.5276 0.5276 0.4171  6 O 2.14-2.25
Mn: 0.0089 0.0090 0.9732  6 O 2.02
As: 0.3276 0.3276 0.0171  6 O 1.82-1.95

Calculated values
Its total energy is -66.06 eV/f.u. Its space-group type is R3. The crystal system is trigonal.